A plane-wave DFT calculation with PBE was carried out for an optimized crystal structure of CsGaSbH.

Computed properties:
- SG = P3m1 (156)
- raw total energy (eV for the cell shown) = -12.7

Lattice parameters (Å, degrees): 4.4819 4.4816 6.7230 90.01 90.00 120.00
Fractional coordinates of all 4 atoms:
Cs: 0.5720 0.1440 0.3480
Ga: 0.2385 0.4771 0.9260
Sb: 0.9053 0.8105 0.7939
H: 0.2385 0.4771 0.1712